# RbAsPt2

Crystalline RbAsPt2 at its relaxed geometry (PBEsol, Alexandria via LeMat-Bulk).

Cell: 4.780 4.780 4.780 Å, 60.00 60.00 60.00°
Element x y z (fractional)
As: 0.000 0.000 0.000
Rb: 0.500 0.500 0.500
Pt: 0.250 0.250 0.250
Pt: 0.750 0.750 0.750

Properties
Energy relative to the lowest polymorph listed for this composition   832 meV/atom
Formation enthalpy at 0 K   0.666 eV per atom
N(E_F)   3.14 states/eV/cell
E   -4.3486 eV per atom
Space-group type   Fm-3m (225)

***

# TaMo3

Crystalline TaMo3 at its relaxed geometry (PBEsol, Alexandria via LeMat-Bulk).

Cell: 2.750 2.750 17.775 Å, 90.00 90.00 109.86°
Element x y z (fractional)
Mo: 0.000 0.000 0.745
Mo: 0.500 0.500 0.623
Mo: 0.000 0.000 0.500
Mo: 0.500 0.500 0.377
Mo: 0.000 0.000 0.255
Mo: 0.000 0.000 0.000
Ta: 0.500 0.500 0.128
Ta: 0.500 0.500 0.872

Properties
Formation enthalpy at 0 K   -0.057 eV per atom
N(E_F)   3.99 states/eV/cell
E   -12.0204 eV per atom
Space-group type   Cmmm (65)

***

# SrLiMg2

Crystalline SrLiMg2 at its relaxed geometry (PBEsol, Alexandria via LeMat-Bulk).

Cell: 5.260 5.454 5.260 Å, 61.17 90.00 118.83°
Element x y z (fractional)
Sr: 0.500 0.000 0.500
Mg: 0.000 0.000 0.000
Mg: 0.250 0.500 0.250
Li: 0.750 0.500 0.750

Properties
Energy relative to the lowest polymorph listed for this composition   17 meV/atom
Formation enthalpy at 0 K   -0.004 eV per atom
N(E_F)   3.56 states/eV/cell
E   -1.8148 eV per atom
Space-group type   I-4m2 (119)

***

# HfTa3Mo

Crystalline HfTa3Mo at its relaxed geometry (PBEsol, Alexandria via LeMat-Bulk).

Cell: 4.753 4.753 4.753 Å, 90.00 90.00 90.00°
Each line ends with the local moment (μB).
Element x y z (fractional)
Mo: 0.500 0.500 0.500  0.97
Hf: 0.000 0.000 0.000  0.00
Ta: 0.000 0.500 0.000  -0.04
Ta: 0.000 0.000 0.500  -0.04
Ta: 0.500 0.000 0.000  -0.04

Properties
Formation enthalpy at 0 K   2.263 eV per atom
N(E_F)   5.74 states/eV/cell
E   -9.7220 eV per atom
Space-group type   Pm-3m (221)

***

> Number 4 is which compound?

HfTa3Mo

***

> N(E_F) of number 3 (SrLiMg2)?

3.56 states/eV/cell